A relaxed AsHPd6 crystal. Source: the Alexandria database, functional PBE-GGA.

a b c (Å): 5.2801 5.2857 5.6916
angles (deg): 62.38 62.50 60.10
Atoms (fractional coordinates):
As1 0.0000 0.0000 0.0000
H1 0.5000 0.5000 0.5000
Pd1 0.0813 0.7103 0.7332
Pd2 0.2894 0.5244 0.2666
Pd3 0.4757 0.0803 0.7334
Pd4 0.5243 0.9197 0.2666
Pd5 0.7106 0.4756 0.7334
Pd6 0.9187 0.2897 0.2668

Values from the calculation:
SG ... P-1
Total DFT energy (no corrections) ... -40.2 eV per cell


A relaxed AsHPd4 crystal. Source: the Alexandria database, functional PBE-GGA.

a b c (Å): 6.4396 6.4396 5.7235
angles (deg): 97.30 97.30 129.12
Atoms (fractional coordinates):
As1 0.1279 0.8721 0.7500
As2 0.8721 0.1279 0.2500
H1 0.3895 0.6105 0.7500
H2 0.6105 0.3895 0.2500
Pd1 0.2609 0.2671 0.0812
Pd2 0.2671 0.2609 0.5812
Pd3 0.2883 0.7010 0.4906
Pd4 0.2990 0.7117 0.0094
Pd5 0.7010 0.2883 0.9906
Pd6 0.7117 0.2990 0.5094
Pd7 0.7329 0.7391 0.4188
Pd8 0.7391 0.7329 0.9188

Values from the calculation:
SG ... C2/c
Energy relative to the lowest polymorph listed for this composition ... 75 meV/atom
Total DFT energy (no corrections) ... -59.5 eV per cell


A relaxed AsH3Pd6 crystal. Source: the Alexandria database, functional PBE-GGA.

a b c (Å): 9.0730 3.0404 9.3754
angles (deg): 90.00 112.67 90.00
Atoms (fractional coordinates):
As1 0.1208 0.2500 0.3722
As2 0.8792 0.7500 0.6278
H1 0.1853 0.7500 0.0287
H2 0.4378 0.2500 0.9133
H3 0.4611 0.2500 0.3046
H4 0.5389 0.7500 0.6954
H5 0.5622 0.7500 0.0867
H6 0.8147 0.2500 0.9713
Pd1 0.0440 0.2500 0.8460
Pd2 0.1432 0.7500 0.6121
Pd3 0.2438 0.2500 0.1618
Pd4 0.3404 0.7500 0.9432
Pd5 0.3562 0.7500 0.4475
Pd6 0.4423 0.2500 0.7247
Pd7 0.5577 0.7500 0.2753
Pd8 0.6438 0.2500 0.5525
Pd9 0.6596 0.2500 0.0568
Pd10 0.7562 0.7500 0.8382
Pd11 0.8568 0.2500 0.3879
Pd12 0.9560 0.7500 0.1540

Values from the calculation:
SG ... P2_1/m
Total DFT energy (no corrections) ... -94.8 eV per cell


A relaxed AsHPd3 crystal. Source: the Alexandria database, functional PBE-GGA.

a b c (Å): 4.6941 4.6941 4.6941
angles (deg): 90.00 90.00 90.00
Atoms (fractional coordinates):
As1 0.0000 0.0000 0.0000
H1 0.5000 0.5000 0.5000
Pd1 0.0000 0.0000 0.5000
Pd2 0.0000 0.5000 0.0000
Pd3 0.5000 0.0000 0.0000

Values from the calculation:
SG ... Pm-3m
Energy relative to the lowest polymorph listed for this composition ... 1011 meV/atom
Total DFT energy (no corrections) ... -19.7 eV per cell


A relaxed AsHPd crystal. Source: the Alexandria database, functional PBE-GGA.

a b c (Å): 4.3469 3.0107 6.4031
angles (deg): 90.00 107.08 90.00
Atoms (fractional coordinates):
As1 0.2017 0.2500 0.3665
As2 0.7983 0.7500 0.6335
H1 0.3033 0.7500 0.9343
H2 0.6967 0.2500 0.0657
Pd1 0.4150 0.2500 0.7917
Pd2 0.5850 0.7500 0.2083

Values from the calculation:
SG ... P2_1/m
Energy relative to the lowest polymorph listed for this composition ... 0 meV/atom
Total DFT energy (no corrections) ... -26.6 eV per cell


A relaxed AsH2Pd8 crystal. Source: the Alexandria database, functional PBE-GGA.

a b c (Å): 5.8029 5.8029 5.3064
angles (deg): 90.00 90.00 120.00
Atoms (fractional coordinates):
As1 0.0000 0.0000 0.0000
H1 0.3333 0.6667 0.1041
H2 0.6667 0.3333 0.8959
Pd1 0.1746 0.3493 0.2956
Pd2 0.1746 0.8254 0.2956
Pd3 0.3333 0.6667 0.7654
Pd4 0.3493 0.1746 0.7044
Pd5 0.6507 0.8254 0.2956
Pd6 0.6667 0.3333 0.2346
Pd7 0.8254 0.1746 0.7044
Pd8 0.8254 0.6507 0.7044

Values from the calculation:
SG ... P-3m1
Energy relative to the lowest polymorph listed for this composition ... 60 meV/atom
Total DFT energy (no corrections) ... -53.7 eV per cell


A relaxed As3HPd6 crystal. Source: the Alexandria database, functional PBE-GGA.

a b c (Å): 9.4875 3.3476 10.6026
angles (deg): 90.00 114.79 90.00
Atoms (fractional coordinates):
As1 0.0533 0.2500 0.3474
As2 0.1393 0.2500 0.0086
As3 0.4407 0.7500 0.3005
As4 0.5593 0.2500 0.6995
As5 0.8607 0.7500 0.9914
As6 0.9467 0.7500 0.6526
H1 0.3680 0.2500 0.8419
H2 0.6320 0.7500 0.1581
Pd1 0.1414 0.7500 0.2014
Pd2 0.1444 0.7500 0.5431
Pd3 0.1633 0.2500 0.7800
Pd4 0.3422 0.7500 0.0252
Pd5 0.3524 0.2500 0.4532
Pd6 0.4175 0.7500 0.7829
Pd7 0.5825 0.2500 0.2171
Pd8 0.6476 0.7500 0.5468
Pd9 0.6578 0.2500 0.9748
Pd10 0.8367 0.7500 0.2200
Pd11 0.8556 0.2500 0.4569
Pd12 0.8586 0.2500 0.7986

Values from the calculation:
SG ... P2_1/m
Total DFT energy (no corrections) ... -101.6 eV per cell


A relaxed AsH6Pd8 crystal. Source: the Alexandria database, functional PBE-GGA.

a b c (Å): 5.4467 5.4467 5.4467
angles (deg): 95.01 95.01 95.01
Atoms (fractional coordinates):
As1 0.0000 0.0000 0.0000
H1 0.1922 0.3407 0.6177
H2 0.3407 0.6177 0.1922
H3 0.3823 0.8078 0.6593
H4 0.6177 0.1922 0.3407
H5 0.6593 0.3823 0.8078
H6 0.8078 0.6593 0.3823
Pd1 0.1324 0.7994 0.3872
Pd2 0.2006 0.6128 0.8676
Pd3 0.3093 0.3093 0.3093
Pd4 0.3872 0.1324 0.7994
Pd5 0.6128 0.8676 0.2006
Pd6 0.6907 0.6907 0.6907
Pd7 0.7994 0.3872 0.1324
Pd8 0.8676 0.2006 0.6128

Values from the calculation:
SG ... R-3
Total DFT energy (no corrections) ... -68.4 eV per cell


> What is the total DFT energy (no corrections) in the first record?

-40.2 eV per cell


> Number 3 is which compound?

AsH3Pd6


> Look up the total DFT energy (no corrections) of the sixth one.

-53.7 eV per cell